The following is a PBE calculation of crystalline NpScNi4 at its relaxed geometry, from Alexandria.

a b c (Å): 4.9186 4.9186 8.1487
angles (deg): 90.00 90.00 120.00
Space group P-3m1 (No. 164)
Symmetry-distinct sites (fractional):
Np (0.3333, 0.6667, 0.0458) [2 per cell]
Sc (0.3333, 0.6667, 0.4347) [2 per cell]
Ni (0.0000, 0.0000, 0.0000) [1 per cell]
Ni (0.0000, 0.0000, 0.5000) [1 per cell]
Ni (0.1661, 0.3323, 0.7418) [6 per cell]

ΔE_f	-0.319	eV/atom
ρ	10.052	g/cm³